! PBE-GGA PaHg2Br5, relaxed; values from VASP
&SYSTEM
  ibrav = 0, nat = 8, ntyp = 3
/
ATOMIC_SPECIES
Pa 231.04 Pa.upf
Hg 200.59 Hg.upf
Br 79.90 Br.upf
ATOMIC_POSITIONS angstrom
Pa 4.9347 0.0116 2.5374
Hg 1.8693 3.9576 5.4019
Hg 4.4292 3.9636 6.7176
Br -0.0061 0.0115 5.8514
Br 4.9280 2.6986 2.5356
Br 1.3132 5.2221 9.5542
Br 3.8663 7.9145 10.8681
Br 6.2473 7.9090 6.2385
CELL_PARAMETERS angstrom
5.1191 0.0119 2.6321
2.5413 7.8993 1.3115
-1.0504 0.0102 8.3358
! Magnetization (μB per cell): 0.3
! Crystal system: orthorhombic
! E_form (uncorrected) (eV per formula unit): -8.3
! Offset from the most stable computed form (meV/atom): 0



! PBE-GGA PaHg2Br5, relaxed; values from VASP
&SYSTEM
  ibrav = 0, nat = 8, ntyp = 3
/
ATOMIC_SPECIES
Br 79.90 Br.upf
Hg 200.59 Hg.upf
Pa 231.04 Pa.upf
ATOMIC_POSITIONS angstrom
Br -2.2703 -1.1163 -8.7996
Br 1.6708 -0.3786 -6.5171
Br -0.6338 -0.4385 -2.5155
Br -1.0566 -3.4942 -5.4640
Br -4.5771 -1.1767 -4.7994
Hg 2.5088 -2.8849 -3.4004
Hg -3.1356 -3.5971 -1.8407
Pa -0.6784 -6.1053 -5.2736
CELL_PARAMETERS angstrom
-7.1141 -1.3314 -4.1201
4.1628 0.0912 -7.2176
2.3204 -5.1946 6.0885
! Magnetization (μB per cell): 0.0
! Crystal system: monoclinic
! E_form (uncorrected) (eV per formula unit): -7.6
! Offset from the most stable computed form (meV/atom): 80



! PBE-GGA PaHgBr4, relaxed; values from VASP
&SYSTEM
  ibrav = 0, nat = 12, ntyp = 3
/
ATOMIC_SPECIES
Br 79.90 Br.upf
Pa 231.04 Pa.upf
Hg 200.59 Hg.upf
ATOMIC_POSITIONS angstrom
Br -2.5522 -7.7872 7.8097
Br -3.5125 -0.2152 3.7728
Br -5.6650 -6.9991 5.2334
Br 0.4496 -10.0071 8.8721
Br 2.6022 -3.2232 7.4116
Br -0.5106 -2.4351 4.8353
Br -0.6375 -9.6973 5.0129
Br -2.4254 -0.5250 7.6321
Pa 0.0000 0.0000 0.0000
Pa -1.0028 0.1838 5.1829
Hg 1.4398 -5.8128 4.4407
Hg -3.4999 -4.5933 3.0214
CELL_PARAMETERS angstrom
-1.0572 -10.5898 2.2792
3.9368 -1.0358 6.6022
-5.9425 1.4033 3.7636
! Magnetization (μB per cell): 2.0
! Crystal system: monoclinic
! E_form (uncorrected) (eV per formula unit): -6.8



! PBE-GGA PaHg2Br6, relaxed; values from VASP
&SYSTEM
  ibrav = 0, nat = 18, ntyp = 3
/
ATOMIC_SPECIES
Br 79.90 Br.upf
Hg 200.59 Hg.upf
Pa 231.04 Pa.upf
ATOMIC_POSITIONS angstrom
Br 6.7478 8.1855 4.4842
Br 5.4006 2.8732 8.8064
Br 1.3511 2.4391 4.3762
Br 0.0661 0.4419 7.4653
Br 2.6983 7.7514 0.0540
Br 4.0602 4.8704 2.2796
Br 8.0328 10.1827 1.3951
Br 4.0387 5.7543 6.5808
Br 5.6819 1.2696 3.8949
Br 6.4111 6.5819 -0.2203
Br 2.4170 9.3551 4.9655
Br 1.6878 4.0428 9.0807
Hg 0.5831 7.3585 7.5321
Hg 3.5217 2.0462 6.5140
Hg 4.5772 8.5785 2.3464
Hg 7.5158 3.2661 1.3283
Pa 4.0218 5.3123 -0.3778
Pa 0.0277 0.0000 4.8080
CELL_PARAMETERS angstrom
8.0436 0.0000 -0.7555
0.0000 10.6246 0.0000
0.0554 0.0000 9.6160
! Magnetization (μB per cell): 0.0
! Crystal system: monoclinic
! E_form (uncorrected) (eV per formula unit): -8.5



! PBE-GGA RbPaHg2Br6, relaxed; values from VASP
&SYSTEM
  ibrav = 0, nat = 20, ntyp = 4
/
ATOMIC_SPECIES
Br 79.90 Br.upf
Rb 85.47 Rb.upf
Hg 200.59 Hg.upf
Pa 231.04 Pa.upf
ATOMIC_POSITIONS angstrom
Br 8.0379 6.9862 12.8344
Br 5.9066 2.3927 6.8681
Br 2.2814 1.3014 6.2133
Br 7.0149 7.8855 6.9217
Br 1.7403 4.4950 9.5845
Br 3.3897 6.7941 6.2669
Br 6.9296 3.2920 12.7808
Br 2.3668 5.8948 0.3542
Br 5.1312 0.0984 3.8906
Br 1.2585 2.2007 0.3006
Br 7.5561 4.6918 3.5505
Br 4.1652 9.0885 9.2444
Rb 4.0195 0.0000 0.4368
Rb 0.6286 4.5934 6.1307
Hg 8.2630 0.6001 10.1861
Hg 3.6148 3.9933 3.6186
Hg 1.0334 8.5867 2.9489
Hg 5.6815 5.1936 9.5164
Pa 4.6482 0.0000 6.5675
Pa 0.0000 4.5934 0.0000
CELL_PARAMETERS angstrom
8.0391 0.0000 0.8735
0.0000 9.1869 0.0000
1.2573 0.0000 12.2614
! Magnetization (μB per cell): 0.0
! Crystal system: monoclinic
! E_form (uncorrected) (eV per formula unit): -12.1



! PBE-GGA Rb2PaHgBr6, relaxed; values from VASP
&SYSTEM
  ibrav = 0, nat = 20, ntyp = 4
/
ATOMIC_SPECIES
Rb 85.47 Rb.upf
Br 79.90 Br.upf
Pa 231.04 Pa.upf
Hg 200.59 Hg.upf
ATOMIC_POSITIONS angstrom
Rb 4.2392 2.4475 2.7786
Rb 12.7175 7.3425 5.4648
Rb 4.2392 2.4475 8.4472
Rb 12.7175 7.3425 11.1334
Br 6.1934 6.2142 1.6506
Br 6.1969 6.2122 8.2155
Br 6.1969 3.5778 5.6965
Br 6.1934 3.5758 12.2614
Br 8.4784 2.2565 1.6506
Br 8.4784 7.5334 12.2614
Br 8.4784 7.5293 5.6965
Br 10.7633 6.2142 1.6506
Br 10.7633 3.5758 12.2614
Br 8.4784 2.2606 8.2155
Br 10.7598 6.2122 8.2155
Br 10.7598 3.5778 5.6965
Pa 8.4784 4.8950 6.9560
Pa 0.0000 0.0000 0.0000
Hg 8.4784 4.8950 10.2742
Hg 8.4784 4.8950 3.6378
CELL_PARAMETERS angstrom
8.4784 0.0000 0.0000
4.2392 7.3425 0.0000
4.2392 2.4475 13.9120
! Magnetization (μB per cell): 2.0
! Crystal system: trigonal
! E_form (uncorrected) (eV per formula unit): -13.7